Record 1
Material: VOsWBr2
Method: DFT, PBE
State: relaxed

Magnetization (μB per atom): 0.8774
DOS at the Fermi energy (states/eV/f.u.): 8.2
Space-group type: P4/mmm (123)
E_form (uncorrected) (eV per formula unit): 10.43

Cell: 5.010 5.010 4.698 Å, 90.00 90.00 90.00°
Positions (direct):
V1 0.000 0.000 0.000
Os1 0.000 0.000 0.500
W1 0.500 0.500 0.000
Br1 0.000 0.500 0.500
Br2 0.500 0.000 0.500

Record 2
Material: Os2WBr
Method: DFT, PBE
State: relaxed

Magnetization (μB per atom): 0.0000
DOS at the Fermi energy (states/eV/f.u.): 3.4
Space-group type: F-43m (216)
E_form (uncorrected) (eV per formula unit): 4.92
Energy above the lowest structure with this stoichiometry (eV per atom): 0.5267

Cell: 4.469 4.469 4.469 Å, 60.00 60.00 60.00°
Positions (direct):
Os1 0.000 0.000 0.000
Os2 0.250 0.250 0.250
W1 0.500 0.500 0.500
Br1 0.750 0.750 0.750

Record 3
Material: Os2WBr
Method: DFT, PBE
State: relaxed

Magnetization (μB per atom): 0.0000
DOS at the Fermi energy (states/eV/f.u.): 2.5
Space-group type: Pmmm (47)
E_form (uncorrected) (eV per formula unit): 4.57
Energy above the lowest structure with this stoichiometry (eV per atom): 0.4384

Cell: 2.889 4.604 4.724 Å, 90.00 90.00 90.00°
Positions (direct):
Os1 0.000 0.000 0.000
Os2 0.500 0.000 0.500
W1 0.000 0.500 0.500
Br1 0.500 0.500 0.000

Question: What is the formula in the third record?
Answer: Os2WBr

Question: Look up the E_form (uncorrected) of the first one.
Answer: 10.43 eV per formula unit